[1]
DFT (PBE) results for a relaxed structure of Te2AsPtW.

Cell: 5.2314 5.2314 4.9228 Å, 90.00 90.00 90.00°
Element x y z (fractional)
Te (0.0000, 0.5000, 0.0000)
Te (0.5000, 0.0000, 0.0000)
As (0.0000, 0.0000, 0.5000)
Pt (0.5000, 0.5000, 0.5000)
W (0.5000, 0.5000, 0.0000)

The value obtained for the theoretical density is 8739 kg/m³. Its crystal system is tetragonal. The value obtained for the total magnetization is 0.0 μB/f.u. Its space group is No. 123. For the uncorrected formation energy, the calculation gives 22.77 kcal/mol of atoms.



[2]
DFT (PBE) results for a relaxed structure of Y4Te2AsPt.

Cell: 7.3899 4.1823 7.4955 Å, 90.00 108.94 90.00°
Element x y z (fractional)
Y (0.2309, 0.0000, 0.2120)
Y (0.2595, 0.5000, 0.7799)
Y (0.7405, 0.5000, 0.2201)
Y (0.7691, 0.0000, 0.7880)
Te (0.0000, 0.0000, 0.5000)
Te (0.5000, 0.5000, 0.5000)
As (0.5000, 0.0000, 0.0000)
Pt (0.0000, 0.5000, 0.0000)

The value obtained for the theoretical density is 6675 kg/m³. Its crystal system is monoclinic. The value obtained for the total magnetization is 0.0 μB/f.u. Its space group is No. 10. For the uncorrected formation energy, the calculation gives -31.46 kcal/mol of atoms.



[3]
DFT (PBE) results for a relaxed structure of Y8Te4As3Pt.

Cell: 8.5832 8.5832 8.5832 Å, 58.97 58.97 58.97°
Element x y z (fractional)
Y (0.2395, 0.2395, 0.2395)
Y (0.2446, 0.7365, 0.7365)
Y (0.2636, 0.2636, 0.7554)
Y (0.2636, 0.7554, 0.2636)
Y (0.7365, 0.2446, 0.7365)
Y (0.7365, 0.7365, 0.2446)
Y (0.7554, 0.2636, 0.2636)
Y (0.7605, 0.7605, 0.7605)
Te (0.0000, 0.0000, 0.0000)
Te (0.0000, 0.5000, 0.5000)
Te (0.5000, 0.0000, 0.5000)
Te (0.5000, 0.5000, 0.0000)
As (0.0000, 0.0000, 0.5000)
As (0.0000, 0.5000, 0.0000)
As (0.5000, 0.0000, 0.0000)
Pt (0.5000, 0.5000, 0.5000)

The value obtained for the theoretical density is 6243 kg/m³. Its crystal system is trigonal. The value obtained for the total magnetization is 0.0 μB/f.u. Its space group is No. 166. For the uncorrected formation energy, the calculation gives -33.08 kcal/mol of atoms.



[4]
DFT (PBE) results for a relaxed structure of Th2AsPt.

Cell: 7.8576 7.8576 7.8576 Å, 30.32 30.32 30.32°
Element x y z (fractional)
Th (0.0000, 0.0000, 0.0000)
Th (0.1769, 0.1769, 0.1769)
As (0.4206, 0.4206, 0.4206)
Pt (0.5895, 0.5895, 0.5895)

The value obtained for the theoretical density is 11123 kg/m³. Its crystal system is trigonal. The value obtained for the total magnetization is 0.0 μB/f.u. Its space group is No. 160. Its energy of formation is -1.10 eV/atom.



[5]
DFT (PBE) results for a relaxed structure of Th2AsPt.

Cell: 7.6982 7.6982 7.6982 Å, 31.09 31.09 31.09°
Element x y z (fractional)
Th (0.2467, 0.2467, 0.2467)
Th (0.7533, 0.7533, 0.7533)
As (0.0000, 0.0000, 0.0000)
Pt (0.5000, 0.5000, 0.5000)

The value obtained for the theoretical density is 11291 kg/m³. Its crystal system is trigonal. The value obtained for the total magnetization is 0.0 μB/f.u. Its space group is No. 166. Its energy of formation is -1.22 eV/atom.



[6]
DFT (PBE) results for a relaxed structure of Th6As5Pt.

Cell: 7.3541 7.3541 7.3669 Å, 99.64 99.64 119.84°
Element x y z (fractional)
Th (0.0811, 0.4109, 0.2456)
Th (0.2469, 0.2469, 0.7506)
Th (0.4109, 0.0811, 0.2456)
Th (0.5891, 0.9189, 0.7544)
Th (0.7531, 0.7531, 0.2494)
Th (0.9189, 0.5891, 0.7544)
As (0.1709, 0.8291, 0.5000)
As (0.3345, 0.6655, 0.0000)
As (0.5000, 0.5000, 0.5000)
As (0.6655, 0.3345, 0.0000)
As (0.8291, 0.1709, 0.5000)
Pt (0.0000, 0.0000, 0.0000)

The value obtained for the theoretical density is 10002 kg/m³. Its crystal system is monoclinic. The value obtained for the total magnetization is 0.0 μB/f.u. Its space group is No. 12. Its energy of formation is -1.34 eV/atom.



[7]
DFT (PBE) results for a relaxed structure of Th3As4Pt3.

Cell: 8.3150 8.3150 8.3150 Å, 109.47 109.47 109.47°
Element x y z (fractional)
Th (0.1250, 0.8750, 0.2500)
Th (0.2500, 0.1250, 0.8750)
Th (0.3750, 0.6250, 0.7500)
Th (0.6250, 0.7500, 0.3750)
Th (0.7500, 0.3750, 0.6250)
Th (0.8750, 0.2500, 0.1250)
As (0.0000, 0.1725, 0.5000)
As (0.0000, 0.6725, 0.5000)
As (0.1725, 0.5000, 0.0000)
As (0.3275, 0.3275, 0.3275)
As (0.5000, 0.0000, 0.1725)
As (0.5000, 0.0000, 0.6725)
As (0.6725, 0.5000, 0.0000)
As (0.8275, 0.8275, 0.8275)
Pt (0.1250, 0.7500, 0.8750)
Pt (0.2500, 0.6250, 0.3750)
Pt (0.3750, 0.2500, 0.6250)
Pt (0.6250, 0.3750, 0.2500)
Pt (0.7500, 0.8750, 0.1250)
Pt (0.8750, 0.1250, 0.7500)

The value obtained for the theoretical density is 11865 kg/m³. Its crystal system is cubic. The value obtained for the total magnetization is 0.0 μB/f.u. Its space group is No. 220. Its energy of formation is -1.19 eV/atom.



[8]
DFT (PBE) results for a relaxed structure of Ti2AsPt2.

Cell: 7.1235 7.1235 7.1235 Å, 149.96 149.96 43.01°
Element x y z (fractional)
Ti (0.1057, 0.1057, 0.0000)
Ti (0.8943, 0.8943, 0.0000)
As (0.5000, 0.5000, 0.0000)
Pt (0.2500, 0.7500, 0.5000)
Pt (0.7500, 0.2500, 0.5000)

The value obtained for the theoretical density is 10305 kg/m³. Its crystal system is tetragonal. The value obtained for the total magnetization is 1.6 μB/f.u. Its space group is No. 139. Its energy of formation is -0.48 eV/atom.



[9]
DFT (PBE) results for a relaxed structure of Ti2AsPt2.

Cell: 7.6621 7.6621 2.8751 Å, 90.00 90.00 90.00°
Element x y z (fractional)
Ti (0.1647, 0.3353, 0.0000)
Ti (0.3353, 0.8353, 0.0000)
Ti (0.6647, 0.1647, 0.0000)
Ti (0.8353, 0.6647, 0.0000)
As (0.0000, 0.0000, 0.5000)
As (0.5000, 0.5000, 0.5000)
Pt (0.1309, 0.6309, 0.5000)
Pt (0.3691, 0.1309, 0.5000)
Pt (0.6309, 0.8691, 0.5000)
Pt (0.8691, 0.3691, 0.5000)

The value obtained for the theoretical density is 11035 kg/m³. Its crystal system is tetragonal. The value obtained for the total magnetization is 0.0 μB/f.u. Its space group is No. 127. Its energy of formation is -0.67 eV/atom.



[10]
DFT (PBE) results for a relaxed structure of TiAsPt3.

Cell: 4.6983 4.6983 4.6983 Å, 90.00 90.00 90.00°
Element x y z (fractional)
Ti (0.0000, 0.0000, 0.0000)
As (0.5000, 0.5000, 0.5000)
Pt (0.0000, 0.0000, 0.5000)
Pt (0.0000, 0.5000, 0.0000)
Pt (0.5000, 0.0000, 0.0000)

The value obtained for the theoretical density is 11337 kg/m³. Its crystal system is cubic. The value obtained for the total magnetization is 0.0 μB/f.u. Its space group is No. 221. Its energy of formation is 0.66 eV/atom.



[11]
DFT (PBE) results for a relaxed structure of Ti2AsPt.

Cell: 5.6937 5.6937 5.6937 Å, 104.19 104.19 120.64°
Element x y z (fractional)
Ti (0.1243, 0.6250, 0.9993)
Ti (0.3750, 0.3743, 0.4993)
Ti (0.6257, 0.1250, 0.0007)
Ti (0.8750, 0.8757, 0.5007)
As (0.2500, 0.7500, 0.5000)
As (0.5000, 0.5000, 0.0000)
Pt (0.0000, 0.0000, 0.0000)
Pt (0.7500, 0.2500, 0.5000)

The value obtained for the theoretical density is 8804 kg/m³. Its crystal system is tetragonal. The value obtained for the total magnetization is 0.0 μB/f.u. Its space group is No. 122. Its energy of formation is -0.51 eV/atom.



[12]
DFT (PBE) results for a relaxed structure of TiAsPt.

Cell: 7.3681 7.3681 7.3681 Å, 158.32 158.32 30.85°
Element x y z (fractional)
Ti (0.0000, 0.0000, 0.0000)
As (0.3630, 0.3630, 0.0000)
Pt (0.1673, 0.1673, 0.0000)

The value obtained for the theoretical density is 9676 kg/m³. Its crystal system is tetragonal. The value obtained for the total magnetization is 0.0 μB/f.u. Its space group is No. 107. Its energy of formation is -0.17 eV/atom.